Record 1
Entry from the Alexandria database: crystalline PmZn2In at its relaxed geometry (PBE).

Cell: 4.480 5.410 7.641 Å, 90.00 90.00 90.00°
Positions (direct):
Pm1 0.000 0.000 0.000
Pm2 0.000 0.500 0.500
Zn1 0.000 0.000 0.595
Zn2 0.000 0.500 0.095
Zn3 0.500 0.000 0.724
Zn4 0.500 0.500 0.224
In1 0.500 0.000 0.350
In2 0.500 0.500 0.850

- Polymorph energy (0 for the lowest one): 0.63 eV per formula unit
- Density: 7.0 g cm⁻³
- SG: Amm2 (38)
- Total energy: -21.29 eV/cell

---

Record 2
Entry from the Alexandria database: crystalline Ta2BMoH at its relaxed geometry (PBE).

Cell: 4.362 4.362 4.035 Å, 90.00 90.00 90.00°
Positions (direct):
Ta1 0.000 0.500 0.000
Ta2 0.500 0.000 0.000
B1 0.000 0.000 0.000
Mo1 0.000 0.000 0.500
H1 0.500 0.500 0.500

- Polymorph energy (0 for the lowest one): 0.00 eV per formula unit
- Density: 10.2 g cm⁻³
- SG: P4/mmm (123)
- Total energy: -40.12 eV/cell

---

Record 3
Entry from the Alexandria database: crystalline Dy3Ho12Pu at its relaxed geometry (PBE).

Cell: 4.979 4.979 19.879 Å, 90.00 90.00 90.00°
Positions (direct):
Dy1 0.000 0.000 0.000
Dy2 0.000 0.000 0.252
Dy3 0.000 0.000 0.748
Ho1 0.000 0.500 0.126
Ho2 0.000 0.500 0.378
Ho3 0.000 0.500 0.622
Ho4 0.000 0.500 0.874
Ho5 0.500 0.000 0.126
Ho6 0.500 0.000 0.378
Ho7 0.500 0.000 0.622
Ho8 0.500 0.000 0.874
Ho9 0.500 0.500 0.000
Ho10 0.500 0.500 0.251
Ho11 0.500 0.500 0.500
Ho12 0.500 0.500 0.749
Pu1 0.000 0.000 0.500

- Density: 9.1 g cm⁻³
- SG: P4/mmm (123)
- Total energy: -82.42 eV/cell